[1]
Here is a relaxed Te2OsRh crystal from Alexandria. Energies are from PBE.

Lattice parameters (Å, degrees): 3.126 3.126 9.012 90.00 90.00 118.48
Fractional coordinates of all 4 atoms:
Te 0.000 0.000 0.251
Te 0.000 0.000 0.749
Os 0.500 0.500 0.500
Rh 0.500 0.500 0.000

Summary:
N(E_F): 1.083 states/eV per atom
VASP energy: -21.65 eV per cell
magnetization: 0.00 μB/cell
formation energy without anion corrections: 0.80 eV per atom
density: 11.8 g/cm³

[2]
Here is a relaxed MgMo2Os crystal from Alexandria. Energies are from PBE.

Lattice parameters (Å, degrees): 2.807 4.082 5.487 90.00 90.00 90.00
Fractional coordinates of all 4 atoms:
Mg 0.500 0.500 0.746
Mo 0.000 0.000 0.995
Mo 0.500 0.500 0.259
Os 0.000 0.000 0.501

Summary:
N(E_F): 0.907 states/eV per atom
VASP energy: -33.18 eV per cell
magnetization: 0.00 μB/cell
energy relative to the elements: 0.3276 eV/atom
density: 10.7 g/cm³

[3]
Here is a relaxed FeNiSe4 crystal from Alexandria. Energies are from PBE.

Lattice parameters (Å, degrees): 5.556 5.556 5.556 60.00 60.00 60.00
Site moments in Bohr magnetons follow the coordinates.
Fractional coordinates of all 6 atoms:
Fe 0.750 0.750 0.750  3.26
Ni 0.000 0.000 0.000  0.70
Se 0.876 0.375 0.375  0.09
Se 0.375 0.375 0.876  0.09
Se 0.375 0.876 0.375  0.09
Se 0.375 0.375 0.375  0.09

Summary:
N(E_F): 1.358 states/eV per atom
VASP energy: -21.74 eV per cell
magnetization: 4.43 μB/cell
formation energy without anion corrections: 1.07 eV per atom
density: 5.9 g/cm³

[4]
Here is a relaxed SmEr2Sn9 crystal from Alexandria. Energies are from PBE.

Lattice parameters (Å, degrees): 4.796 4.796 13.700 90.00 90.00 90.00
Fractional coordinates of all 12 atoms:
Sm 0.000 0.000 0.000
Er 0.000 0.000 0.334
Er 0.000 0.000 0.666
Sn 0.500 0.500 0.000
Sn 0.500 0.500 0.335
Sn 0.500 0.500 0.665
Sn 0.500 0.000 0.170
Sn 0.500 0.000 0.500
Sn 0.500 0.000 0.830
Sn 0.000 0.500 0.170
Sn 0.000 0.500 0.500
Sn 0.000 0.500 0.830

Summary:
N(E_F): 0.451 states/eV per atom
VASP energy: -54.88 eV per cell
magnetization: 0.00 μB/cell
energy relative to the elements: -0.4177 eV/atom
density: 8.2 g/cm³

[5]
Here is a relaxed YCuRe crystal from Alexandria. Energies are from PBE.

Lattice parameters (Å, degrees): 4.399 4.399 4.399 60.00 60.00 60.00
Site moments in Bohr magnetons follow the coordinates.
Fractional coordinates of all 3 atoms:
Cu 0.750 0.750 0.750  0.03
Re 0.000 0.000 0.000  0.34
Y 0.500 0.500 0.500  -0.01

Summary:
N(E_F): 1.523 states/eV per atom
VASP energy: -20.84 eV per cell
magnetization: 0.41 μB/cell
energy relative to the elements: 0.7228 eV/atom
density: 9.3 g/cm³

[6]
Here is a relaxed BePt2W crystal from Alexandria. Energies are from PBE.

Lattice parameters (Å, degrees): 4.703 4.703 2.751 90.00 90.00 108.26
Fractional coordinates of all 4 atoms:
Be 0.000 0.500 0.500
W 0.500 0.000 0.500
Pt 0.000 0.000 0.000
Pt 0.500 0.500 0.000

Summary:
N(E_F): 0.791 states/eV per atom
VASP energy: -29.42 eV per cell
magnetization: 0.00 μB/cell
energy relative to the elements: -0.1657 eV/atom
density: 16.8 g/cm³

[7]
Here is a relaxed InSiAs crystal from Alexandria. Energies are from PBE.

Lattice parameters (Å, degrees): 4.894 4.894 2.969 90.00 90.00 120.00
Fractional coordinates of all 3 atoms:
As 0.000 0.000 0.833
In 0.333 0.667 0.334
Si 0.667 0.333 0.832

Summary:
N(E_F): 0.487 states/eV per atom
VASP energy: -11.74 eV per cell
magnetization: 0.00 μB/cell
formation energy without anion corrections: 0.36 eV per atom
density: 5.9 g/cm³

[8]
Here is a relaxed YSbIr2 crystal from Alexandria. Energies are from PBE.

Lattice parameters (Å, degrees): 3.760 3.760 5.645 90.00 90.00 90.00
Fractional coordinates of all 4 atoms:
Ir 0.000 0.000 0.970
Ir 0.500 0.500 0.297
Sb 0.000 0.000 0.442
Y 0.500 0.500 0.791

Summary:
N(E_F): 0.449 states/eV per atom
VASP energy: -29.40 eV per cell
magnetization: 0.00 μB/cell
formation energy without anion corrections: -0.27 eV per atom
density: 12.4 g/cm³